No. 1
# PBE NdHoIrRu, optimized geometry
data_NdHoIrRu
_chemical_formula_sum 'Nd4 Ho4 Ir4 Ru4'
_space_group_name_H-M_alt 'F -4 3 m'
_space_group_IT_number 216
_space_group_name_Hall 'F -4 2 3'
_cell_length_a 6.931
_cell_length_b 6.931
_cell_length_c 6.931
_cell_angle_alpha 90.00
_cell_angle_beta 90.00
_cell_angle_gamma 90.00
loop_
_atom_site_label
_atom_site_type_symbol
_atom_site_fract_x
_atom_site_fract_y
_atom_site_fract_z
Nd1 Nd 0.000 0.000 0.000
Ho1 Ho 0.000 0.000 0.500
Ir1 Ir 0.250 0.250 0.250
Ru1 Ru 0.250 0.250 0.750
# Energy relative to the elements: -0.4560 eV per atom


No. 2
# PBE NdHoSiIr, optimized geometry
data_NdHoSiIr
_chemical_formula_sum 'Nd2 Ho2 Si2 Ir2'
_space_group_name_H-M_alt 'A m m 2'
_space_group_IT_number 38
_cell_length_a 3.889
_cell_length_b 4.269
_cell_length_c 11.106
_cell_angle_alpha 90.00
_cell_angle_beta 90.00
_cell_angle_gamma 90.00
loop_
_space_group_symop_operation_xyz
'x,y,z'
'-x,-y,z'
'-x,y,z'
'x,-y,z'
'x,y+1/2,z+1/2'
'-x,-y+1/2,z+1/2'
'-x,y+1/2,z+1/2'
'x,-y+1/2,z+1/2'
loop_
_atom_site_label
_atom_site_type_symbol
_atom_site_fract_x
_atom_site_fract_y
_atom_site_fract_z
Nd1 Nd 0.000 0.000 0.000
Ho1 Ho 0.500 0.000 0.281
Si1 Si 0.500 0.000 0.589
Ir1 Ir 0.000 0.000 0.726
# ΔE_f (raw): -0.81 eV per atom


> Which formula does entry 2 have?

NdHoSiIr